Entry 1:
Computed, not measured: a geometry-optimized PaS2Cl structure at the PBE level of DFT.

The structure belongs to space group R3m (No. 160, hexagonal axes); the cell edges are 4.4222, 4.4222 and 20.8571 Å and the angles 90.00°, 90.00° and 120.00°. Symmetry generates all atoms from Pa at (0.0000, 0.0000, 0.0000), S at (0.0000, 0.0000, 0.3903), S at (0.0000, 0.0000, 0.6328) and Cl at (0.0000, 0.0000, 0.8770).

For the offset from the most stable computed form, the calculation gives 8.81 kJ per mole of atoms. Its volume is 29.44 Å³/atom. The calculation puts the raw formation energy at -1.5092 eV/atom. Its crystal system is trigonal.

=====

Entry 2:
Computed, not measured: a geometry-optimized PaSCl2 structure at the PBE level of DFT.

The structure belongs to space group Cm (No. 8); the cell edges are 9.6889, 3.6378 and 7.6378 Å and the angles 90.00°, 110.69° and 90.00°. Symmetry generates all atoms from Pa at (0.0000, 0.0000, 0.0000), S at (0.2059, 0.5000, 0.0001), Cl at (0.0099, 0.5000, 0.2758) and Cl at (0.3564, 0.0000, 0.7240).

Its volume is 31.48 Å³/atom. The calculation puts the raw formation energy at -1.6782 eV/atom. Its crystal system is monoclinic.